[1]
Compound: Ce2DyPb
Source: Alexandria via LeMat-Bulk
Functional: GGA-PBE
Structure: optimized geometry

The formation energy comes out at 163 meV per atom. The value obtained for the energy relative to the lowest polymorph listed for this composition is 0.448 eV/atom.

It has space group R-3m (No. 166, hexagonal axes), with a = 3.4420 Å, b = 3.4420 Å, c = 37.0027 Å, α = 90.00°, β = 90.00° and γ = 120.00°. The inequivalent atoms are Ce at (0.0000, 0.0000, 0.0887), Dy at (0.0000, 0.0000, 0.5000) and Pb at (0.0000, 0.0000, 0.0000).

=====

[2]
Compound: ZnFeRu3
Source: Alexandria via LeMat-Bulk
Functional: GGA-PBE
Structure: optimized geometry

The formation energy comes out at 1280 meV per atom. The value obtained for the energy relative to the lowest polymorph listed for this composition is 0.000 eV/atom.

It has space group Pm-3m (No. 221), with a = 4.389 Å, b = 4.389 Å, c = 4.389 Å, α = 90.00°, β = 90.00° and γ = 90.00°. The inequivalent atoms are Zn at (0.000, 0.000, 0.000), Fe at (0.500, 0.500, 0.500) and Ru at (0.000, 0.500, 0.500).

=====

[3]
Compound: BaNaScCl6
Source: Alexandria via LeMat-Bulk
Functional: GGA-PBE
Structure: optimized geometry

The value obtained for the energy relative to the elements, uncorrected is -2.181 eV/atom.

It has space group P-31c (No. 163), with a = 6.9911 Å, b = 6.9911 Å, c = 12.9937 Å, α = 90.00°, β = 90.00° and γ = 120.00°. The inequivalent atoms are Ba at (0.0000, 0.0000, 0.0000), Na at (0.3333, 0.6667, 0.2500), Sc at (0.3333, 0.6667, 0.7500) and Cl at (0.0329, 0.3795, 0.6386).

=====

[4]
Compound: PmPrMgCo
Source: Alexandria via LeMat-Bulk
Functional: GGA-PBE
Structure: optimized geometry

The formation energy comes out at 82 meV per atom.

It has space group F-43m (No. 216), with a = 7.353 Å, b = 7.353 Å, c = 7.353 Å, α = 90.00°, β = 90.00° and γ = 90.00°. The inequivalent atoms are Pm at (0.000, 0.000, 0.000), Pr at (0.000, 0.000, 0.500), Mg at (0.250, 0.250, 0.250) and Co at (0.250, 0.250, 0.750).

=====

[5]
Compound: Pm4BiTe3
Source: Alexandria via LeMat-Bulk
Functional: GGA-PBE
Structure: optimized geometry

The value obtained for the energy relative to the elements, uncorrected is -1.303 eV/atom.

It has space group Cmmm (No. 65), with a = 9.023 Å, b = 12.709 Å, c = 4.479 Å, α = 90.00°, β = 90.00° and γ = 90.00°. The inequivalent atoms are Pm at (0.000, 0.249, 0.000), Pm at (0.249, 0.000, 0.500), Bi at (0.000, 0.500, 0.000), Te at (0.000, 0.000, 0.000) and Te at (0.250, 0.250, 0.500).

=====

[6]
Compound: LiAl3Ge
Source: Alexandria via LeMat-Bulk
Functional: GGA-PBE
Structure: optimized geometry

The formation energy comes out at 568 meV per atom.

It has space group Pm-3m (No. 221), with a = 4.988 Å, b = 4.988 Å, c = 4.988 Å, α = 90.00°, β = 90.00° and γ = 90.00°. The inequivalent atoms are Li at (0.000, 0.000, 0.000), Al at (0.000, 0.500, 0.500) and Ge at (0.500, 0.500, 0.500).

=====

[7]
Compound: Mn2Ir2Os
Source: Alexandria via LeMat-Bulk
Functional: GGA-PBE
Structure: optimized geometry

The formation energy comes out at 165 meV per atom. The value obtained for the energy relative to the lowest polymorph listed for this composition is 0.000 eV/atom.

It has space group P4/mbm (No. 127), with a = 7.017 Å, b = 7.017 Å, c = 2.697 Å, α = 90.00°, β = 90.00° and γ = 90.00°. The inequivalent atoms are Mn at (0.117, 0.383, 0.000), Ir at (0.177, 0.677, 0.500) and Os at (0.000, 0.000, 0.000).

=====

[8]
Compound: Li2CaDyHg4
Source: Alexandria via LeMat-Bulk
Functional: GGA-PBE
Structure: optimized geometry

The formation energy comes out at -429 meV per atom.

It has space group R-3m (No. 166, hexagonal axes), with a = 5.0585 Å, b = 5.0585 Å, c = 24.9328 Å, α = 90.00°, β = 90.00° and γ = 120.00°. The inequivalent atoms are Li at (0.0000, 0.0000, 0.2491), Ca at (0.0000, 0.0000, 0.0000), Dy at (0.0000, 0.0000, 0.5000), Hg at (0.0000, 0.0000, 0.1270) and Hg at (0.0000, 0.0000, 0.3778).

=====

[9]
Compound: NdY3Ho6Er2
Source: Alexandria via LeMat-Bulk
Functional: GGA-PBE
Structure: optimized geometry

The formation energy comes out at 21 meV per atom.

It has space group C2/m (No. 12), with a = 6.142 Å, b = 10.627 Å, c = 11.761 Å, α = 90.00°, β = 99.97° and γ = 90.00°. The inequivalent atoms are Nd at (0.000, 0.000, 0.000), Y at (0.000, 0.167, 0.500), Y at (0.000, 0.500, 0.500), Ho at (0.249, 0.333, 0.750), Ho at (0.249, 0.500, 0.250) and Er at (0.000, 0.333, 0.000).

=====

[10]
Compound: Tb2MgCd8
Source: Alexandria via LeMat-Bulk
Functional: GGA-PBE
Structure: optimized geometry

The formation energy comes out at -177 meV per atom.

It has space group C2/m (No. 12), with a = 16.582 Å, b = 4.761 Å, c = 6.752 Å, α = 90.00°, β = 104.26° and γ = 90.00°. The inequivalent atoms are Tb at (0.220, 0.000, 0.163), Mg at (0.000, 0.500, 0.500), Cd at (0.027, 0.000, 0.226), Cd at (0.095, 0.500, 0.934), Cd at (0.147, 0.000, 0.659) and Cd at (0.159, 0.500, 0.386).

=====

[11]
Compound: NaPmTl2
Source: Alexandria via LeMat-Bulk
Functional: GGA-PBE
Structure: optimized geometry

The formation energy comes out at -102 meV per atom.

It has space group R-3m (No. 166, hexagonal axes), with a = 3.6491 Å, b = 3.6491 Å, c = 31.6535 Å, α = 90.00°, β = 90.00° and γ = 120.00°. The inequivalent atoms are Na at (0.0000, 0.0000, 0.0000), Pm at (0.0000, 0.0000, 0.5000) and Tl at (0.0000, 0.0000, 0.2509).

=====

[12]
Compound: Er3Te
Source: Alexandria via LeMat-Bulk
Functional: GGA-PBE
Structure: optimized geometry

The value obtained for the energy relative to the elements, uncorrected is -0.607 eV/atom. The value obtained for the energy relative to the lowest polymorph listed for this composition is 0.000 eV/atom.

It has space group P4_2/n (No. 86, origin choice 2), with a = 12.243 Å, b = 12.243 Å, c = 6.078 Å, α = 90.00°, β = 90.00° and γ = 90.00°. The inequivalent atoms are Er at (0.036, 0.574, 0.237), Er at (0.108, 0.221, 0.040), Er at (0.142, 0.667, 0.714) and Te at (0.049, 0.207, 0.544).

=====

Values of total energy, in order: -4.8815 -6.2331 -4.4760 -4.4757 -5.3415 -2.9838 -9.2932 -1.8839 -5.0414 -1.8293 -2.8027 -4.8144, all in eV per atom.